one:
This record from Alexandria describes a geometry-optimized Sm8CuPd2 structure. The functional is GGA-PBE.

Cell: 6.1115 7.8514 7.8514 Å, 114.43 100.40 100.40°
With the nearest neighbours (Å) after each atom.
Sites, in units of the cell vectors:
Cu1 0.1746 0.0070 0.0070  8 Sm 3.02-3.18
Sm1 0.8033 0.6411 0.6411  2 Pd 3.16, 1 Cu 3.18
Sm2 0.3633 0.6587 0.9157  2 Pd 2.87-2.95, 1 Cu 3.02
Sm3 0.9846 0.2107 0.7858  1 Cu 3.03, 2 Pd 3.30-3.31
Sm4 0.5886 0.0896 0.3461  2 Pd 2.84-2.92, 1 Cu 3.08
Sm5 0.3633 0.9157 0.6587  2 Pd 2.87-2.95, 1 Cu 3.02
Sm6 0.1697 0.3674 0.3674  1 Cu 3.07, 2 Pd 3.18
Sm7 0.5886 0.3461 0.0896  2 Pd 2.84-2.92, 1 Cu 3.08
Sm8 0.9846 0.7858 0.2107  1 Cu 3.03, 2 Pd 3.30-3.31
Pd1 0.4895 0.3137 0.6981  6 Sm 2.84-3.18
Pd2 0.4895 0.6981 0.3137  6 Sm 2.84-3.18

Calculated values
DOS(E_F), states/eV/f.u.: 15.05
Symmetry: Cm (8)


two:
This record from Alexandria describes a geometry-optimized Sm8CuPd2 structure. The functional is GGA-PBE.

Cell: 5.1892 6.8098 9.4862 Å, 107.58 105.87 90.00°
With the nearest neighbours (Å) after each atom.
Sites, in units of the cell vectors:
Sm1 0.0284 0.7884 0.0568  1 Pd 2.78, 2 Cu 3.09
Sm2 0.9716 0.2116 0.9432  1 Pd 2.78, 2 Cu 3.09
Sm3 0.7986 0.6623 0.5972  1 Pd 2.90
Sm4 0.5919 0.4646 0.1838  1 Cu 3.08, 2 Pd 3.25
Sm5 0.6717 0.9997 0.3434  3 Pd 2.84-3.17, 1 Cu 3.13
Sm6 0.4081 0.5354 0.8162  1 Cu 3.08, 2 Pd 3.25
Sm7 0.3283 0.0003 0.6566  3 Pd 2.84-3.17, 1 Cu 3.13
Sm8 0.2014 0.3377 0.4028  1 Pd 2.90
Pd1 0.1733 0.7336 0.3466  3 Sm 2.78-2.90
Pd2 0.8267 0.2664 0.6534  3 Sm 2.78-2.90
Cu1 0.5000 0.0000 0.0000  8 Sm 3.08-3.13

Calculated values
DOS(E_F), states/eV/f.u.: 11.31
Symmetry: C2/m (12)


Relative stability in kJ/mol of atoms, measured from the most stable structure: one 11.2; two 0.0


one:
This record from Alexandria describes a geometry-optimized TbSmCuPd structure. The functional is GGA-PBE.

Cell: 5.0075 5.0075 5.0075 Å, 60.00 60.00 60.00°
With the nearest neighbours (Å) after each atom.
Sites, in units of the cell vectors:
Pd1 0.7500 0.7500 0.7500  4 Tb 3.07, 4 Sm 3.07
Sm1 0.0000 0.0000 0.0000  4 Cu 3.07, 4 Pd 3.07
Tb1 0.5000 0.5000 0.5000  4 Cu 3.07, 4 Pd 3.07
Cu1 0.2500 0.2500 0.2500  4 Sm 3.07, 4 Tb 3.07

Calculated values
DOS(E_F), states/eV/f.u.: 2.50
Symmetry: F-43m (216)


two:
This record from Alexandria describes a geometry-optimized TbSmCuPd structure. The functional is GGA-PBE.

Cell: 3.7881 4.5605 5.6446 Å, 90.00 109.61 90.00°
With the nearest neighbours (Å) after each atom.
Sites, in units of the cell vectors:
Tb1 0.1377 0.0000 0.2754  3 Cu 2.96-3.04, 4 Pd 3.03
Pd1 0.5785 0.5000 0.1569  2 Cu 2.81, 3 Sm 2.99-3.00, 4 Tb 3.03
Sm1 0.8605 0.5000 0.7210  3 Pd 2.99-3.00, 4 Cu 3.04
Cu1 0.4234 0.0000 0.8468  2 Pd 2.81, 3 Tb 2.96-3.04, 4 Sm 3.04

Calculated values
DOS(E_F), states/eV/f.u.: 2.84
Symmetry: Amm2 (38)


Relative stability in kJ/mol of atoms, measured from the most stable structure: one 3.8; two 0.0


one:
This record from Alexandria describes a geometry-optimized SmThCuPd structure. The functional is GGA-PBE.

Cell: 5.0789 5.0789 5.0789 Å, 60.00 60.00 60.00°
With the nearest neighbours (Å) after each atom.
Sites, in units of the cell vectors:
Sm1 0.7500 0.7500 0.7500  4 Cu 3.11, 4 Pd 3.11
Cu1 0.5000 0.5000 0.5000  4 Th 3.11, 4 Sm 3.11
Pd1 0.0000 0.0000 0.0000  4 Th 3.11, 4 Sm 3.11
Th1 0.2500 0.2500 0.2500  4 Cu 3.11, 4 Pd 3.11

Calculated values
DOS(E_F), states/eV/f.u.: 3.69
Symmetry: F-43m (216)


two:
This record from Alexandria describes a geometry-optimized SmThCuPd structure. The functional is GGA-PBE.

Cell: 3.8140 4.6097 5.7341 Å, 90.00 109.42 90.00°
With the nearest neighbours (Å) after each atom.
Sites, in units of the cell vectors:
Cu1 0.4217 0.0000 0.8435  2 Pd 2.83, 3 Sm 3.02-3.05, 4 Th 3.06
Th1 0.8618 0.5000 0.7235  3 Pd 2.99-3.11, 4 Cu 3.06
Pd1 0.5742 0.5000 0.1485  2 Cu 2.83, 3 Th 2.99-3.11, 4 Sm 3.08
Sm1 0.1423 0.0000 0.2845  3 Cu 3.02-3.05, 4 Pd 3.08

Calculated values
DOS(E_F), states/eV/f.u.: 3.75
Symmetry: Amm2 (38)


Relative stability in kJ/mol of atoms, measured from the most stable structure: one 7.0; two 0.0